*P*
Computed, not measured: crystalline PmMgPd at its relaxed geometry at the PBE-GGA level of DFT.

Unit cell a=7.2787 b=4.3103 c=8.6916 alpha=90.00 beta=90.00 gamma=90.00
Last column: nearest neighbours and their distance in Å.
Element x y z (fractional)
Pm1 0.0415 0.2500 0.1810  5 Pd 3.04-3.14, 5 Mg 3.36-3.37
Pm2 0.4585 0.7500 0.6810  5 Pd 3.04-3.14, 5 Mg 3.36-3.37
Pm3 0.5415 0.2500 0.3190  5 Pd 3.04-3.14, 5 Mg 3.36-3.37
Pm4 0.9585 0.7500 0.8190  5 Pd 3.04-3.14, 5 Mg 3.36-3.37
Mg1 0.1347 0.2500 0.5604  4 Pd 2.80-2.90, 2 Mg 3.10
Mg2 0.3653 0.7500 0.0604  4 Pd 2.80-2.90, 2 Mg 3.10
Mg3 0.6347 0.2500 0.9396  4 Pd 2.80-2.90, 2 Mg 3.10
Mg4 0.8653 0.7500 0.4396  4 Pd 2.80-2.90, 2 Mg 3.10
Pd1 0.2489 0.7500 0.3790  4 Mg 2.80-2.90, 3 Pm 3.04-3.07
Pd2 0.2511 0.2500 0.8790  4 Mg 2.80-2.90, 3 Pm 3.04-3.07
Pd3 0.7489 0.7500 0.1210  4 Mg 2.80-2.90, 3 Pm 3.04-3.07
Pd4 0.7511 0.2500 0.6210  4 Mg 2.80-2.90, 3 Pm 3.04-3.07

Results
volume = 273 Å³ per cell
crystal system = orthorhombic
M_tot = 0.0 μB/f.u.

---

*Q*
Computed, not measured: crystalline PmMgPd at its relaxed geometry at the PBE-GGA level of DFT.

Unit cell a=4.8906 b=4.8906 c=4.8906 alpha=60.00 beta=60.00 gamma=60.00
Last column: nearest neighbours and their distance in Å.
Element x y z (fractional)
Pm1 0.0000 0.0000 0.0000  4 Mg 2.99, 4 Pd 2.99
Mg1 0.7500 0.7500 0.7500  4 Pm 2.99
Pd1 0.2500 0.2500 0.2500  4 Pm 2.99

Results
volume = 83 Å³ per cell
crystal system = cubic
M_tot = 0.0 μB/f.u.

---

Which is most stable? The ranking, best first, is *P*, *Q*.

---

*P*
Computed, not measured: crystalline MgPdPt at its relaxed geometry at the PBE-GGA level of DFT.

Unit cell a=11.6719 b=11.6719 c=11.6719 alpha=165.63 beta=165.63 gamma=20.37
Last column: nearest neighbours and their distance in Å.
Element x y z (fractional)
Mg1 0.1308 0.1308 0.0000  4 Pd 2.67, 4 Pt 2.70, 4 Mg 2.92
Mg2 0.8692 0.8692 0.0000  4 Pd 2.67, 4 Pt 2.70, 4 Mg 2.92
Pd1 0.4430 0.4430 0.0000  5 Pd 2.62-2.92, 4 Mg 2.67
Pd2 0.5570 0.5570 0.0000  5 Pd 2.62-2.92, 4 Mg 2.67
Pt1 0.2933 0.2933 0.0000  4 Mg 2.70, 8 Pt 2.87-2.92
Pt2 0.7067 0.7067 0.0000  4 Mg 2.70, 8 Pt 2.87-2.92

Results
volume = 98 Å³ per cell
crystal system = tetragonal
M_tot = 0.0 μB/f.u.

---

*Q*
Computed, not measured: crystalline MgPdPt at its relaxed geometry at the PBE-GGA level of DFT.

Unit cell a=4.6936 b=2.9090 c=6.8853 alpha=90.00 beta=97.63 gamma=90.00
Last column: nearest neighbours and their distance in Å.
Element x y z (fractional)
Mg1 0.0000 0.0000 0.0000  3 Pt 2.69-2.77, 6 Pd 2.74-2.77, 2 Mg 2.91
Mg2 0.4246 0.0000 0.6521  4 Pd 2.70-2.75, 5 Pt 2.75-2.77, 2 Mg 2.91
Pd1 0.2141 0.5000 0.3248  4 Mg 2.74-2.75, 5 Pt 2.76-2.86, 3 Pd 2.83-2.91
Pd2 0.4958 0.5000 0.9855  6 Mg 2.70-2.77, 3 Pd 2.83-2.91, 2 Pt 2.83
Pt1 0.7135 0.0000 0.3265  6 Pd 2.76-2.83, 2 Mg 2.77, 4 Pt 2.84-2.91
Pt2 0.9306 0.5000 0.6678  6 Mg 2.69-2.77, 4 Pt 2.84-2.91, 1 Pd 2.86

Results
volume = 93 Å³ per cell
crystal system = monoclinic
M_tot = 0.0 μB/f.u.

---

Which is most stable? The ranking, best first, is *Q*, *P*.

---

*P*
Computed, not measured: crystalline MgZrPdPt at its relaxed geometry at the PBE-GGA level of DFT.

Unit cell a=4.6320 b=4.6320 c=4.6320 alpha=60.00 beta=60.00 gamma=60.00
Last column: nearest neighbours and their distance in Å.
Element x y z (fractional)
Mg1 0.0000 0.0000 0.0000  4 Pd 2.84, 4 Pt 2.84
Zr1 0.5000 0.5000 0.5000  4 Pt 2.84, 4 Pd 2.84
Pd1 0.2500 0.2500 0.2500  4 Zr 2.84, 4 Mg 2.84
Pt1 0.7500 0.7500 0.7500  4 Zr 2.84, 4 Mg 2.84

Results
volume = 70 Å³ per cell
crystal system = cubic
M_tot = 0.0 μB/f.u.

---

*Q*
Computed, not measured: crystalline MgZrPdPt at its relaxed geometry at the PBE-GGA level of DFT.

Unit cell a=4.6296 b=4.6296 c=4.6296 alpha=60.00 beta=60.00 gamma=60.00
Last column: nearest neighbours and their distance in Å.
Element x y z (fractional)
Mg1 0.0000 0.0000 0.0000  4 Zr 2.84, 4 Pd 2.84
Zr1 0.7500 0.7500 0.7500  4 Mg 2.84, 4 Pt 2.84
Pd1 0.2500 0.2500 0.2500  4 Mg 2.84, 4 Pt 2.84
Pt1 0.5000 0.5000 0.5000  4 Zr 2.84, 4 Pd 2.84

Results
volume = 70 Å³ per cell
crystal system = cubic
M_tot = 0.4 μB/f.u.

---

*R*
Computed, not measured: crystalline MgZrPdPt at its relaxed geometry at the PBE-GGA level of DFT.

Unit cell a=4.6136 b=4.6136 c=4.6136 alpha=60.00 beta=60.00 gamma=60.00
Last column: nearest neighbours and their distance in Å.
Element x y z (fractional)
Mg1 0.0000 0.0000 0.0000  4 Pt 2.83, 4 Zr 2.83
Zr1 0.2500 0.2500 0.2500  4 Mg 2.83, 4 Pd 2.83
Pd1 0.5000 0.5000 0.5000  4 Pt 2.83, 4 Zr 2.83
Pt1 0.7500 0.7500 0.7500  4 Mg 2.83, 4 Pd 2.83

Results
volume = 69 Å³ per cell
crystal system = cubic
M_tot = 0.6 μB/f.u.

---

Which is most stable? The ranking, best first, is *P*, *Q*, *R*.

---

*P*
Computed, not measured: crystalline MgSbPd2 at its relaxed geometry at the PBE-GGA level of DFT.

Unit cell a=4.7316 b=4.7316 c=7.9166 alpha=90.00 beta=90.00 gamma=120.00
Last column: nearest neighbours and their distance in Å.
Element x y z (fractional)
Mg1 0.0000 0.0000 0.2500  3 Sb 2.73, 6 Pd 3.05
Mg2 0.0000 0.0000 0.7500  3 Sb 2.73, 6 Pd 3.05
Sb1 0.3333 0.6667 0.2500  2 Pd 2.61, 3 Mg 2.73
Sb2 0.6667 0.3333 0.7500  2 Pd 2.61, 3 Mg 2.73
Pd1 0.3333 0.6667 0.5799  1 Sb 2.61, 1 Pd 2.69
Pd2 0.3333 0.6667 0.9201  1 Sb 2.61, 1 Pd 2.69
Pd3 0.6667 0.3333 0.0799  1 Sb 2.61, 1 Pd 2.69
Pd4 0.6667 0.3333 0.4201  1 Sb 2.61, 1 Pd 2.69

Results
volume = 153 Å³ per cell
crystal system = hexagonal

---

*Q*
Computed, not measured: crystalline MgSbPd2 at its relaxed geometry at the PBE-GGA level of DFT.

Unit cell a=3.3511 b=3.3511 c=6.3236 alpha=90.00 beta=90.00 gamma=90.00
Last column: nearest neighbours and their distance in Å.
Element x y z (fractional)
Mg1 0.0000 0.0000 0.0000  8 Pd 2.81
Sb1 0.0000 0.0000 0.5000  8 Pd 2.88, 2 Mg 3.16
Pd1 0.5000 0.5000 0.2400  4 Mg 2.81, 4 Sb 2.88, 1 Pd 3.04
Pd2 0.5000 0.5000 0.7600  4 Mg 2.81, 4 Sb 2.88, 1 Pd 3.04

Results
volume = 71 Å³ per cell
crystal system = tetragonal

---

*R*
Computed, not measured: crystalline MgSbPd2 at its relaxed geometry at the PBE-GGA level of DFT.

Unit cell a=4.5188 b=4.5188 c=8.2517 alpha=90.00 beta=90.00 gamma=120.00
Last column: nearest neighbours and their distance in Å.
Element x y z (fractional)
Mg1 0.0000 0.0000 0.0000  6 Pd 2.70
Mg2 0.0000 0.0000 0.5000  6 Pd 2.70
Sb1 0.3333 0.6667 0.2500  8 Pd 2.75-2.95
Sb2 0.6667 0.3333 0.7500  8 Pd 2.75-2.95
Pd1 0.3333 0.6667 0.5835  3 Mg 2.70, 4 Pd 2.75-2.95, 4 Sb 2.75-2.95
Pd2 0.3333 0.6667 0.9165  3 Mg 2.70, 4 Pd 2.75-2.95, 4 Sb 2.75-2.95
Pd3 0.6667 0.3333 0.0835  3 Mg 2.70, 4 Pd 2.75-2.95, 4 Sb 2.75-2.95
Pd4 0.6667 0.3333 0.4165  3 Mg 2.70, 4 Pd 2.75-2.95, 4 Sb 2.75-2.95

Results
volume = 146 Å³ per cell
crystal system = hexagonal

---

*S*
Computed, not measured: crystalline MgSbPd2 at its relaxed geometry at the PBE-GGA level of DFT.

Unit cell a=4.5029 b=4.5029 c=8.4687 alpha=90.00 beta=90.00 gamma=120.00
Last column: nearest neighbours and their distance in Å.
Element x y z (fractional)
Mg1 0.3333 0.6667 0.2500  8 Pd 2.83-2.95
Mg2 0.6667 0.3333 0.7500  8 Pd 2.83-2.95
Sb1 0.0000 0.0000 0.0000  6 Pd 2.70
Sb2 0.0000 0.0000 0.5000  6 Pd 2.70
Pd1 0.3333 0.6667 0.5842  3 Sb 2.70, 4 Pd 2.81-2.97, 4 Mg 2.83-2.95
Pd2 0.3333 0.6667 0.9158  3 Sb 2.70, 4 Pd 2.81-2.97, 4 Mg 2.83-2.95
Pd3 0.6667 0.3333 0.0842  3 Sb 2.70, 4 Pd 2.81-2.97, 4 Mg 2.83-2.95
Pd4 0.6667 0.3333 0.4158  3 Sb 2.70, 4 Pd 2.81-2.97, 4 Mg 2.83-2.95

Results
volume = 149 Å³ per cell
crystal system = hexagonal

---

Which is most stable? The ranking, best first, is *R*, *S*, *Q*, *P*.

---

*P*
Computed, not measured: crystalline MgSbPd2 at its relaxed geometry at the PBE-GGA level of DFT.

Unit cell a=6.6753 b=7.4062 c=6.0538 alpha=90.00 beta=90.00 gamma=90.00
Last column: nearest neighbours and their distance in Å.
Element x y z (fractional)
Mg1 0.0304 0.2500 0.1795  6 Pd 2.83-2.90, 1 Sb 3.06
Mg2 0.4696 0.7500 0.6795  6 Pd 2.83-2.90, 1 Sb 3.06
Mg3 0.5304 0.2500 0.3205  6 Pd 2.83-2.90, 1 Sb 3.06
Mg4 0.9696 0.7500 0.8205  6 Pd 2.83-2.90, 1 Sb 3.06
Sb1 0.1010 0.7500 0.3369  6 Pd 2.63-2.76
Sb2 0.3990 0.2500 0.8369  6 Pd 2.63-2.76
Sb3 0.6010 0.7500 0.1631  6 Pd 2.63-2.76
Sb4 0.8990 0.2500 0.6631  6 Pd 2.63-2.76
Pd1 0.2245 0.0489 0.5295  3 Sb 2.63-2.76, 3 Mg 2.83-2.90
Pd2 0.2245 0.4511 0.5295  3 Sb 2.63-2.76, 3 Mg 2.83-2.90
Pd3 0.2755 0.5489 0.0295  3 Sb 2.63-2.76, 3 Mg 2.83-2.90
Pd4 0.2755 0.9511 0.0295  3 Sb 2.63-2.76, 3 Mg 2.83-2.90
Pd5 0.7245 0.0489 0.9705  3 Sb 2.63-2.76, 3 Mg 2.83-2.90
Pd6 0.7245 0.4511 0.9705  3 Sb 2.63-2.76, 3 Mg 2.83-2.90
Pd7 0.7755 0.5489 0.4705  3 Sb 2.63-2.76, 3 Mg 2.83-2.90
Pd8 0.7755 0.9511 0.4705  3 Sb 2.63-2.76, 3 Mg 2.83-2.90

Results
volume = 299 Å³ per cell
crystal system = orthorhombic

---

*Q*
Computed, not measured: crystalline MgSbPd2 at its relaxed geometry at the PBE-GGA level of DFT.

Unit cell a=4.6467 b=4.6467 c=4.6467 alpha=60.00 beta=60.00 gamma=60.00
Last column: nearest neighbours and their distance in Å.
Element x y z (fractional)
Mg1 0.0000 0.0000 0.0000  4 Sb 2.85, 4 Pd 2.85
Sb1 0.7500 0.7500 0.7500  4 Mg 2.85, 4 Pd 2.85
Pd1 0.2500 0.2500 0.2500  4 Mg 2.85, 4 Pd 2.85
Pd2 0.5000 0.5000 0.5000  4 Sb 2.85, 4 Pd 2.85

Results
volume = 71 Å³ per cell
crystal system = cubic

---

Which is most stable? The ranking, best first, is *P*, *Q*.

---

*P*
Computed, not measured: crystalline MgSbPd2 at its relaxed geometry at the PBE-GGA level of DFT.

Unit cell a=4.6225 b=4.6225 c=4.6225 alpha=59.83 beta=59.83 gamma=59.83
Last column: nearest neighbours and their distance in Å.
Element x y z (fractional)
Mg1 0.0000 0.0000 0.0000  8 Pd 2.82-2.84
Sb1 0.5000 0.5000 0.5000  8 Pd 2.83
Pd1 0.2507 0.2507 0.2507  4 Mg 2.82-2.84, 4 Sb 2.83
Pd2 0.7493 0.7493 0.7493  4 Mg 2.82-2.84, 4 Sb 2.83

Results
volume = 70 Å³ per cell
crystal system = trigonal

---

*Q*
Computed, not measured: crystalline MgSbPd2 at its relaxed geometry at the PBE-GGA level of DFT.

Unit cell a=4.4359 b=4.4359 c=3.5541 alpha=90.00 beta=90.00 gamma=90.00
Last column: nearest neighbours and their distance in Å.
Element x y z (fractional)
Mg1 0.0000 0.0000 0.0000  8 Pd 2.84, 4 Sb 3.14
Sb1 0.5000 0.5000 0.0000  8 Pd 2.84, 4 Mg 3.14
Pd1 0.0000 0.5000 0.5000  4 Sb 2.84, 4 Mg 2.84, 4 Pd 3.14
Pd2 0.5000 0.0000 0.5000  4 Sb 2.84, 4 Mg 2.84, 4 Pd 3.14

Results
volume = 70 Å³ per cell
crystal system = tetragonal

---

Which is most stable? The ranking, best first, is *P*, *Q*.

---

*P*
Computed, not measured: crystalline SrMgSiPd at its relaxed geometry at the PBE-GGA level of DFT.

Unit cell a=4.9532 b=4.9532 c=4.9532 alpha=60.00 beta=60.00 gamma=60.00
Last column: nearest neighbours and their distance in Å.
Element x y z (fractional)
Sr1 0.0000 0.0000 0.0000  4 Pd 3.03, 4 Si 3.03
Mg1 0.5000 0.5000 0.5000  4 Pd 3.03, 4 Si 3.03
Si1 0.2500 0.2500 0.2500  4 Mg 3.03, 4 Sr 3.03
Pd1 0.7500 0.7500 0.7500  4 Mg 3.03, 4 Sr 3.03

Results
volume = 86 Å³ per cell
crystal system = cubic

---

*Q*
Computed, not measured: crystalline SrMgSiPd at its relaxed geometry at the PBE-GGA level of DFT.

Unit cell a=4.8340 b=4.8340 c=4.8340 alpha=60.00 beta=60.00 gamma=60.00
Last column: nearest neighbours and their distance in Å.
Element x y z (fractional)
Sr1 0.0000 0.0000 0.0000  4 Mg 2.96, 4 Si 2.96
Mg1 0.7500 0.7500 0.7500  4 Sr 2.96, 4 Pd 2.96
Si1 0.2500 0.2500 0.2500  4 Pd 2.96, 4 Sr 2.96
Pd1 0.5000 0.5000 0.5000  4 Mg 2.96, 4 Si 2.96

Results
volume = 80 Å³ per cell
crystal system = cubic

---

Which is most stable? The ranking, best first, is *P*, *Q*.

---

*P*
Computed, not measured: crystalline SrMgSnPd at its relaxed geometry at the PBE-GGA level of DFT.

Unit cell a=5.1537 b=5.1537 c=5.1537 alpha=60.00 beta=60.00 gamma=60.00
Last column: nearest neighbours and their distance in Å.
Element x y z (fractional)
Sr1 0.0000 0.0000 0.0000  4 Pd 3.16, 4 Sn 3.16
Mg1 0.5000 0.5000 0.5000  4 Sn 3.16, 4 Pd 3.16
Sn1 0.2500 0.2500 0.2500  4 Mg 3.16, 4 Sr 3.16
Pd1 0.7500 0.7500 0.7500  4 Mg 3.16, 4 Sr 3.16

Results
volume = 97 Å³ per cell
crystal system = cubic

---

*Q*
Computed, not measured: crystalline SrMgSnPd at its relaxed geometry at the PBE-GGA level of DFT.

Unit cell a=5.0572 b=5.0572 c=5.0572 alpha=60.00 beta=60.00 gamma=60.00
Last column: nearest neighbours and their distance in Å.
Element x y z (fractional)
Sr1 0.0000 0.0000 0.0000  4 Mg 3.10, 4 Sn 3.10
Mg1 0.7500 0.7500 0.7500  4 Sr 3.10, 4 Pd 3.10
Sn1 0.2500 0.2500 0.2500  4 Pd 3.10, 4 Sr 3.10
Pd1 0.5000 0.5000 0.5000  4 Mg 3.10, 4 Sn 3.10

Results
volume = 91 Å³ per cell
crystal system = cubic

---

Which is most stable? The ranking, best first, is *P*, *Q*.